[1]
Y3RuPt2 | PBE-GGA | optimized geometry

Results
Density = 10.0 g cm⁻³
ΔE_f = -0.92 eV per atom
Space group = Cmmm (65)
Final energy = -7.716 eV per atom
Density of states at the Fermi level = 7.606 states/eV/cell

Unit cell a=4.8761 b=7.6977 c=7.0385 alpha=90.00 beta=90.00 gamma=71.54
Fractional coordinates of all 12 atoms:
Y 0.8310 0.3381 0.7544
Y 0.5000 0.0000 0.2474
Y 0.1690 0.6619 0.2456
Y 0.8310 0.3381 0.2456
Y 0.1690 0.6619 0.7544
Y 0.5000 0.0000 0.7526
Ru 0.3330 0.3340 0.0000
Ru 0.6670 0.6660 0.0000
Pt 0.0000 0.0000 0.0000
Pt 0.0000 0.0000 0.5000
Pt 0.3350 0.3300 0.5000
Pt 0.6650 0.6700 0.5000

=====

[2]
NdTm3In3 | PBE-GGA | optimized geometry

Results
Density = 8.3 g cm⁻³
ΔE to the lowest computed polymorph = 0.0431 eV per atom
ΔE_f = -0.31 eV per atom
Space group = P2_13 (198)
Final energy = -4.080 eV per atom
Density of states at the Fermi level = 23.474 states/eV/cell

Unit cell a=9.2832 b=9.2832 c=9.2832 alpha=90.00 beta=90.00 gamma=90.00
Fractional coordinates of all 28 atoms:
Nd 0.0487 0.5487 0.9513
Nd 0.9513 0.0487 0.5487
Nd 0.4513 0.4513 0.4513
Nd 0.5487 0.9513 0.0487
Tm 0.8317 0.3317 0.1683
Tm 0.8814 0.8814 0.8814
Tm 0.8006 0.6994 0.3006
Tm 0.1683 0.8317 0.3317
Tm 0.1994 0.1994 0.1994
Tm 0.3006 0.8006 0.6994
Tm 0.1186 0.3814 0.6186
Tm 0.3317 0.1683 0.8317
Tm 0.6994 0.3006 0.8006
Tm 0.6683 0.6683 0.6683
Tm 0.6186 0.1186 0.3814
Tm 0.3814 0.6186 0.1186
In 0.6986 0.5994 0.9950
In 0.9006 0.0050 0.1986
In 0.9950 0.6986 0.5994
In 0.0994 0.5050 0.3014
In 0.3014 0.0994 0.5050
In 0.1986 0.9006 0.0050
In 0.0050 0.1986 0.9006
In 0.4006 0.4950 0.8014
In 0.5050 0.3014 0.0994
In 0.5994 0.9950 0.6986
In 0.8014 0.4006 0.4950
In 0.4950 0.8014 0.4006

=====

[3]
LiCuAs3 | PBE-GGA | optimized geometry

Results
Density = 4.5 g cm⁻³
ΔE to the lowest computed polymorph = 0.0000 eV per atom
ΔE_f = 0.36 eV per atom
Space group = Pm-3m (221)
Final energy = -3.635 eV per atom
Density of states at the Fermi level = 2.621 states/eV/cell

Unit cell a=4.7728 b=4.7728 c=4.7728 alpha=90.00 beta=90.00 gamma=90.00
Fractional coordinates of all 5 atoms:
As 0.0000 0.5000 0.0000
As 0.0000 0.0000 0.5000
As 0.5000 0.0000 0.0000
Cu 0.0000 0.0000 0.0000
Li 0.5000 0.5000 0.5000

=====

[4]
Tm8GeSb2 | PBE-GGA | optimized geometry

Results
Density = 8.9 g cm⁻³
Space group = C2/m (12)
Final energy = -4.908 eV per atom
Density of states at the Fermi level = 12.632 states/eV/cell

Unit cell a=4.2013 b=8.2374 c=9.2188 alpha=93.22 beta=103.17 gamma=90.00
Fractional coordinates of all 11 atoms:
Tm 0.4067 0.4574 0.8134
Tm 0.6577 0.0306 0.3153
Tm 0.7918 0.6360 0.5836
Tm 0.0123 0.2311 0.0246
Tm 0.2082 0.3640 0.4164
Tm 0.3423 0.9694 0.6847
Tm 0.5933 0.5426 0.1866
Tm 0.9877 0.7689 0.9754
Ge 0.5000 0.0000 0.0000
Sb 0.8210 0.2358 0.6421
Sb 0.1790 0.7642 0.3579